Density functional theory data (GGA-PBE) for a relaxed structure of Zr3Ag2.

E	-5.9786	eV/atom
SG	P-3m1
ΔE to the lowest computed polymorph	347	meV/atom
calculated density	7.164	g/cm³
energy relative to the elements	291	meV/atom

Cell: 4.7394 4.7394 5.8315 Å, 90.00 90.00 120.00°
Sites, in units of the cell vectors:
Zr 0.6667 0.3333 0.6427
Zr 0.3333 0.6667 0.3573
Zr 0.0000 0.0000 0.0000
Ag 0.3333 0.6667 0.8525
Ag 0.6667 0.3333 0.1475